# Tm2MgOsC

A relaxed Tm2MgOsC crystal (GGA-PBE, Alexandria).

Geometry as POSCAR:
```
Tm2MgOsC
1.0
3.9431 0.0000 0.0000
0.0000 4.9180 0.0000
0.0000 0.0000 4.9180
C Os Tm Mg
1 1 2 1
Direct
0.0000 0.0000 0.0000
0.5000 0.0000 0.0000
0.0000 0.0000 0.5000
0.0000 0.5000 0.0000
0.5000 0.5000 0.5000
```

# Li4Ag4Pb3

A relaxed Li4Ag4Pb3 crystal (GGA-PBE, Alexandria).

Geometry as POSCAR:
```
Li4Ag4Pb3
1.0
3.1945 0.0121 -0.0008
0.0184 4.6449 -0.0025
1.5861 2.2981 14.9291
Li Ag Pb
4 4 3
Direct
0.4507 0.4539 0.0921
0.5493 0.5461 0.9079
0.3131 0.8128 0.3737
0.6870 0.1872 0.6263
0.7367 0.7365 0.5277
0.4074 0.9062 0.1878
0.2634 0.2636 0.4723
0.5926 0.0939 0.8122
0.0000 0.0000 0.0000
0.8590 0.3601 0.2806
0.1410 0.6400 0.7194
```

# LaAl2Cd

A relaxed LaAl2Cd crystal (GGA-PBE, Alexandria).

Geometry as POSCAR:
```
LaAl2Cd
1.0
-3.0116 7.5923 -6.5549
-5.9020 6.6170 -5.5733
-4.2616 8.7598 -3.8450
Al La Cd
2 1 1
Direct
0.9910 0.9910 0.9910
0.2529 0.2529 0.2529
0.7465 0.7465 0.7465
0.5096 0.5096 0.5096
```

# Al6Pd12Pt

A relaxed Al6Pd12Pt crystal (GGA-PBE, Alexandria).

Geometry as POSCAR:
```
Al6Pd12Pt
1.0
-4.0235 2.0677 5.6250
-4.1388 -0.0683 -5.9135
2.4232 -6.6902 1.2143
Pd Pt Al
12 1 6
Direct
0.9405 0.7084 0.1886
0.8137 0.5077 0.4110
0.5890 0.1863 0.4923
0.4923 0.5890 0.1863
0.5077 0.4110 0.8137
0.1863 0.4923 0.5890
0.8114 0.0595 0.2916
0.2916 0.8114 0.0595
0.7084 0.1886 0.9405
0.4110 0.8137 0.5077
0.1886 0.9405 0.7084
0.0595 0.2916 0.8114
0.0000 0.0000 0.0000
0.1158 0.4358 0.2059
0.8842 0.5642 0.7941
0.5642 0.7941 0.8842
0.7941 0.8842 0.5642
0.2059 0.1158 0.4358
0.4358 0.2059 0.1158
```

| no. | energy relative to the elements (meV/atom) |
| --- | --- |
| 1 | -348.3 |
| 2 | -140.6 |
| 3 | 53.3 |
| 4 | -635.2 |